No. 1
The following is a PBE-GGA calculation of a geometry-optimized Tc2OsF structure, from Alexandria.

**Symmetry**: No. 225
**Uncorrected formation energy**: 1.0 eV per formula unit
**Calculated volume**: 13.69 A^3/atom

Cell: 4.2630 4.2630 4.2630 Å, 60.00 60.00 60.00°
With the nearest neighbours (Å) after each atom.
Fractional coordinates of all 4 atoms:
1 Os 0.5000 0.5000 0.5000  8 Tc 2.61
2 Tc 0.2500 0.2500 0.2500  4 F 2.61, 4 Os 2.61
3 Tc 0.7500 0.7500 0.7500  4 Os 2.61, 4 F 2.61
4 F 0.0000 0.0000 0.0000  8 Tc 2.61

No. 2
The following is a PBE-GGA calculation of a geometry-optimized TcOsF2 structure, from Alexandria.

**Symmetry**: No. 166
**Uncorrected formation energy**: -1.3 eV per formula unit
**Calculated volume**: 12.41 A^3/atom

Cell: 8.3147 8.3147 8.3147 Å, 18.33 18.33 18.33°
With the nearest neighbours (Å) after each atom.
Fractional coordinates of all 4 atoms:
1 Os 0.0000 0.0000 0.0000  2 F 2.02
2 Tc 0.5000 0.5000 0.5000  6 F 2.57, 6 Tc 2.65
3 F 0.9177 0.9177 0.9177  1 Os 2.02
4 F 0.0823 0.0823 0.0823  1 Os 2.02

No. 3
The following is a PBE-GGA calculation of a geometry-optimized TcOsF3 structure, from Alexandria.

**Symmetry**: No. 221
**Uncorrected formation energy**: 1.5 eV per formula unit
**Calculated volume**: 14.12 A^3/atom

Cell: 4.1330 4.1330 4.1330 Å, 90.00 90.00 90.00°
With the nearest neighbours (Å) after each atom.
Fractional coordinates of all 5 atoms:
1 Os 0.5000 0.5000 0.5000  12 F 2.92
2 Tc 0.0000 0.0000 0.0000  6 F 2.07
3 F 0.0000 0.5000 0.0000  2 Tc 2.07
4 F 0.0000 0.0000 0.5000  2 Tc 2.07
5 F 0.5000 0.0000 0.0000  2 Tc 2.07

Number 1: offset from the most stable computed form 0.0 meV/atom. Number 2: offset from the most stable computed form 2.6 meV/atom. Number 3: offset from the most stable computed form 42.4 meV/atom.